1.
{"formula": "LaMg2Ni9", "functional": "meta-GGA SCAN", "state": "single point on PBEsol structure", "cell": [[2.408, 1.391, 7.792], [-2.408, 1.391, 7.792], [0.000, -2.781, 7.792]], "species": ["La", "Mg", "Mg", "Ni", "Ni", "Ni", "Ni", "Ni", "Ni", "Ni", "Ni", "Ni"], "fractional_positions": [[0.000, 0.000, 0.000], [0.145, 0.145, 0.145], [0.855, 0.855, 0.855], [0.083, 0.587, 0.587], [0.333, 0.333, 0.333], [0.413, 0.413, 0.917], [0.413, 0.917, 0.413], [0.500, 0.500, 0.500], [0.587, 0.083, 0.587], [0.587, 0.587, 0.083], [0.667, 0.667, 0.667], [0.917, 0.413, 0.413]], "sg": "R-3m", "delta_e_f_mev_per_atom": -217, "total_energy_ev_per_atom": -16.7681}

=====

2.
{"formula": "NaSnHg3", "functional": "meta-GGA SCAN", "state": "single point on PBEsol structure", "cell": [[5.544, 0.000, 0.000], [0.000, 5.544, 0.000], [0.000, 0.000, 5.544]], "species": ["Na", "Sn", "Hg", "Hg", "Hg"], "fractional_positions": [[0.000, 0.000, 0.000], [0.500, 0.500, 0.500], [0.000, 0.500, 0.500], [0.500, 0.000, 0.500], [0.500, 0.500, 0.000]], "sg": "Pm-3m", "delta_e_f_mev_per_atom": 72, "total_energy_ev_per_atom": -48.8546}